# 1
A geometry-optimized NpHg4 structure. Source: the Alexandria database, functional PBE.

a b c (Å): 6.096 6.096 6.096
angles (deg): 90.00 90.00 90.00
Element x y z (fractional)
Np 0.500 0.500 0.500
Hg 0.000 0.000 0.000
Hg 0.500 0.000 0.500
Hg 0.000 0.500 0.500
Hg 0.500 0.500 0.000

Calculated values
space group = No. 221
energy relative to the elements = 3.415 eV/f.u.

# 2
A geometry-optimized Sc2MoOs structure. Source: the Alexandria database, functional PBE.

a b c (Å): 9.833 9.833 9.833
angles (deg): 17.23 17.23 17.23
Element x y z (fractional)
Sc 0.914 0.914 0.914
Sc 0.086 0.086 0.086
Mo 0.500 0.500 0.500
Os 0.000 0.000 0.000

Calculated values
space group = No. 166
energy relative to the elements = 2.006 eV/f.u.

# 3
A geometry-optimized TlCdFe2 structure. Source: the Alexandria database, functional PBE.

a b c (Å): 5.011 5.011 5.011
angles (deg): 131.83 131.80 70.51
Element x y z (fractional)
Cd 0.250 0.750 0.500
Fe 0.000 0.000 0.000
Fe 0.500 0.500 0.000
Tl 0.750 0.250 0.500

Calculated values
space group = No. 139
energy relative to the elements = 2.085 eV/f.u.

# 4
A geometry-optimized SiHI2O structure. Source: the Alexandria database, functional PBE.

a b c (Å): 5.908 5.908 2.838
angles (deg): 90.00 90.00 90.00
Element x y z (fractional)
I 0.000 0.500 0.000
I 0.500 0.000 0.000
H 0.000 0.000 0.000
Si 0.500 0.500 0.500
O 0.000 0.000 0.500

Calculated values
space group = No. 123
E above lowest polymorph = 0.6323 eV per atom

# 5
A geometry-optimized TbHPb structure. Source: the Alexandria database, functional PBE.

a b c (Å): 5.191 3.692 3.692
angles (deg): 120.00 90.00 90.00
Element x y z (fractional)
Pb 0.667 0.333 0.667
H 0.166 0.000 0.000
Tb 0.167 0.667 0.333

Calculated values
space group = No. 187
E above lowest polymorph = 0.0000 eV per atom

# 6
A geometry-optimized TlCd2In2 structure. Source: the Alexandria database, functional PBE.

a b c (Å): 4.500 4.500 7.612
angles (deg): 72.81 72.81 90.00
Element x y z (fractional)
Tl 0.000 0.000 0.000
Cd 0.399 0.399 0.202
Cd 0.601 0.601 0.798
In 0.750 0.250 0.500
In 0.250 0.750 0.500

Calculated values
space group = No. 139
energy relative to the elements = 0.271 eV/f.u.
E above lowest polymorph = 0.0050 eV per atom

# 7
A geometry-optimized AsHOsPd structure. Source: the Alexandria database, functional PBE.

a b c (Å): 3.165 3.083 11.034
angles (deg): 90.00 96.15 90.00
Element x y z (fractional)
As 0.286 0.000 0.186
As 0.286 0.500 0.686
H 0.702 0.000 0.940
H 0.702 0.500 0.440
Os 0.824 0.000 0.789
Os 0.824 0.500 0.289
Pd 0.972 0.000 0.518
Pd 0.972 0.500 0.018

Calculated values
space group = No. 8
E above lowest polymorph = 0.0834 eV per atom

# 8
A geometry-optimized RbAc2Br2F5 structure. Source: the Alexandria database, functional PBE.

a b c (Å): 3.837 10.876 10.876
angles (deg): 90.00 90.00 90.00
Element x y z (fractional)
Rb 0.000 0.000 0.000
Rb 0.000 0.500 0.500
Ac 0.000 0.129 0.629
Ac 0.000 0.871 0.371
Ac 0.000 0.629 0.871
Ac 0.000 0.371 0.129
Br 0.000 0.667 0.167
Br 0.000 0.333 0.833
Br 0.000 0.167 0.333
Br 0.000 0.833 0.667
F 0.500 0.234 0.079
F 0.500 0.766 0.921
F 0.500 0.079 0.766
F 0.500 0.734 0.421
F 0.500 0.921 0.234
F 0.500 0.266 0.579
F 0.500 0.579 0.734
F 0.500 0.421 0.266
F 0.500 0.500 0.000
F 0.500 0.000 0.500

Calculated values
space group = No. 127
formation energy from raw total energies = -3243 meV/atom